The following is a DFT calculation (GGA-PBE) of an optimized crystal structure of Er3TcO6.

Unit cell a=6.469 b=6.469 c=6.469 alpha=98.32 beta=98.32 gamma=98.32
Site moments in Bohr magnetons follow the coordinates.
Atoms (fractional coordinates):
Er 0.113 0.286 0.604  0.02
Er 0.887 0.714 0.396  0.02
Er 0.396 0.887 0.714  0.02
Er 0.604 0.113 0.286  0.02
Er 0.714 0.396 0.887  0.02
Er 0.286 0.604 0.113  0.02
O 0.053 0.937 0.692  0.05
O 0.808 0.421 0.568  0.02
O 0.308 0.947 0.063  0.05
O 0.063 0.308 0.947  0.05
O 0.421 0.568 0.808  0.02
O 0.568 0.808 0.421  0.02
O 0.947 0.063 0.308  0.05
O 0.692 0.053 0.937  0.05
O 0.432 0.192 0.579  0.02
O 0.937 0.692 0.053  0.05
O 0.192 0.579 0.432  0.02
O 0.579 0.432 0.192  0.02
Tc 0.500 0.500 0.500  0.78
Tc 0.000 0.000 0.000  2.36

## Properties
As for the raw formation energy: -2955 meV per atom. Its electronic total energy is -8.33 eV per atom.